(1)
## Th2ZnGa2Ru5 (PBE-GGA)

Data for a relaxed Th2ZnGa2Ru5 crystal.

The formation energy is -2.8 eV per formula unit. The calculation puts the calculated density at 11.1 g cm⁻³. The value obtained for the calculated total energy is -7.14 eV per atom.

Cell: 10.0407 10.0407 3.4825 Å, 90.00 90.00 90.00°
Space group P4/mbm (No. 127)
One atom of each set of equivalent atoms:
1 Th 0.1742 0.3258 0.0000 x4
2 Zn 0.0000 0.0000 0.0000 x2
3 Ga 0.1256 0.6256 0.0000 x4
4 Ru 0.0000 0.5000 0.5000 x2
5 Ru 0.0723 0.8001 0.5000 x8

***

(2)
## NpZnRh2 (PBE-GGA)

Data for a relaxed NpZnRh2 crystal.

The formation energy is -1.3 eV per formula unit. The calculation puts the calculated density at 12.8 g cm⁻³. The value obtained for the calculated total energy is -7.56 eV per atom.

Cell: 3.1222 3.1222 6.7613 Å, 90.00 90.00 90.00°
Space group P4/mmm (No. 123)
One atom of each set of equivalent atoms:
1 Np 0.0000 0.0000 0.0000 x1
2 Zn 0.0000 0.0000 0.5000 x1
3 Rh 0.5000 0.5000 0.2791 x2

***

(3)
## ZnMo2Se (PBE-GGA)

Data for a relaxed ZnMo2Se crystal.

The calculation puts the calculated density at 9.0 g cm⁻³. The calculation puts the energy relative to the elements, uncorrected at 0.2498 eV per atom. The value obtained for the calculated total energy is -6.36 eV per atom.

Cell: 9.2125 3.1078 4.5315 Å, 90.00 106.14 90.00°
Space group Cm (No. 8)
One atom of each set of equivalent atoms:
1 Zn 0.0000 0.0000 0.0000 x2
2 Mo 0.2563 0.0000 0.8434 x2
3 Mo 0.4909 0.0000 0.4999 x2
4 Se 0.2547 0.5000 0.3535 x2

***

(4)
## BPC (PBE-GGA)

Data for a relaxed BPC crystal.

The formation energy is 1.5 eV per formula unit. The calculation puts the calculated density at 3.4 g cm⁻³. The value obtained for the calculated total energy is -6.61 eV per atom.

Cell: 2.9112 3.2705 3.0265 Å, 90.00 115.95 90.00°
Space group P2 (No. 3)
One atom of each set of equivalent atoms:
1 B 0.0000 0.0000 0.0000 x1
2 P 0.5000 0.3763 0.5000 x1
3 C 0.5000 0.7292 0.0000 x1

***

(5)
## TbPu2Ge3 (PBE-GGA)

Data for a relaxed TbPu2Ge3 crystal.

The formation energy is -2.6 eV per formula unit. The calculation puts the calculated density at 10.6 g cm⁻³. The value obtained for the calculated total energy is -8.30 eV per atom.

Cell: 5.0764 5.0764 6.0782 Å, 90.00 90.00 120.00°
Space group P-3m1 (No. 164)
One atom of each set of equivalent atoms:
1 Tb 0.0000 0.0000 0.0000 x1
2 Pu 0.3333 0.6667 0.6412 x2
3 Ge 0.0000 0.0000 0.5000 x1
4 Ge 0.3333 0.6667 0.1468 x2

***

(6)
## Zr3Ni8Sn (PBE-GGA)

Data for a relaxed Zr3Ni8Sn crystal.

The formation energy is -5.0 eV per formula unit. The calculation puts the calculated density at 8.5 g cm⁻³. The value obtained for the calculated total energy is -6.74 eV per atom.

Cell: 4.9223 4.9223 24.1552 Å, 90.00 90.00 120.00°
Space group R3m (No. 160, hexagonal axes)
One atom of each set of equivalent atoms:
1 Zr 0.0000 0.0000 0.0000 x3
2 Zr 0.0000 0.0000 0.1258 x3
3 Zr 0.0000 0.0000 0.6183 x3
4 Ni 0.0000 0.0000 0.3097 x3
5 Ni 0.0000 0.0000 0.8101 x3
6 Ni 0.0030 0.5015 0.5618 x9
7 Ni 0.1680 0.3361 0.3913 x9
8 Sn 0.0000 0.0000 0.4937 x3

***

(7)
## SmGePt6 (PBE-GGA)

Data for a relaxed SmGePt6 crystal.

The formation energy is -3.3 eV per formula unit. The calculation puts the calculated density at 13.7 g cm⁻³. The value obtained for the calculated total energy is -6.11 eV per atom.

Cell: 5.4239 5.4239 19.8831 Å, 90.00 90.00 120.00°
Space group R-3m (No. 166, hexagonal axes)
One atom of each set of equivalent atoms:
1 Sm 0.0000 0.0000 0.0000 x3
2 Ge 0.0000 0.0000 0.5000 x3
3 Pt 0.0074 0.5037 0.9278 x18

***

(8)
## Pu3Ga8Ir3 (PBE-GGA)

Data for a relaxed Pu3Ga8Ir3 crystal.

The formation energy is -6.9 eV per formula unit. The calculation puts the calculated density at 12.1 g cm⁻³. The value obtained for the calculated total energy is -7.19 eV per atom.

Cell: 15.7062 4.4017 8.9586 Å, 90.00 124.18 90.00°
Space group C2/m (No. 12)
One atom of each set of equivalent atoms:
1 Pu 0.0000 0.0000 0.0000 x2
2 Pu 0.2174 0.5000 0.7100 x4
3 Ga 0.0065 0.5000 0.6697 x4
4 Ga 0.1365 0.0000 0.4287 x4
5 Ga 0.1485 0.0000 0.8544 x4
6 Ga 0.1511 0.5000 0.2873 x4
7 Ir 0.0000 0.0000 0.5000 x2
8 Ir 0.1512 0.5000 0.0076 x4

***

(9)
## LiAgAs2H (PBE-GGA)

Data for a relaxed LiAgAs2H crystal.

The calculation puts the calculated density at 5.9 g cm⁻³. The value obtained for the calculated total energy is -3.37 eV per atom.

Cell: 4.3392 4.3392 3.9422 Å, 90.00 90.00 90.00°
Space group P4/mmm (No. 123)
One atom of each set of equivalent atoms:
1 Li 0.0000 0.0000 0.0000 x1
2 Ag 0.5000 0.5000 0.0000 x1
3 As 0.0000 0.5000 0.5000 x2
4 H 0.0000 0.0000 0.5000 x1

***

(10)
## TmCSe (PBE-GGA)

Data for a relaxed TmCSe crystal.

The calculation puts the calculated density at 6.9 g cm⁻³. The calculation puts the energy relative to the elements, uncorrected at -0.7715 eV per atom. The value obtained for the calculated total energy is -6.50 eV per atom.

Cell: 4.0686 4.0687 15.2225 Å, 90.00 90.00 90.00°
Space group Immm (No. 71)
One atom of each set of equivalent atoms:
1 Tm 0.0000 0.0000 0.1291 x4
2 C 0.0000 0.3472 0.0000 x4
3 Se 0.0000 0.0000 0.3220 x4